1.
Computed, not measured: a geometry-optimized NiPW4N2 structure at the GGA-PBE level of DFT.

CIF file:
```
data_NiPW4N2
_cell_length_a 2.8720
_cell_length_b 2.8720
_cell_length_c 13.7084
_cell_angle_alpha 90.00
_cell_angle_beta 90.00
_cell_angle_gamma 120.00
_space_group_name_H-M_alt 'P -6 m 2'
_space_group_IT_number 187
_space_group_name_Hall 'P -6 2'
loop_
_atom_site_label
_atom_site_type_symbol
_atom_site_fract_x
_atom_site_fract_y
_atom_site_fract_z
_atom_site_occupancy
Ni1 Ni 0.0000 0.0000 0.0000 1
P1 P 0.3333 0.6667 0.5000 1
W1 W 0.0000 0.0000 0.3634 1
W2 W 0.3333 0.6667 0.1532 1
N1 N 0.6667 0.3333 0.2568 1
```

Properties
M_tot = 0.005 μB/f.u.
calculated total energy = -9.789 eV per atom
volume = 97.9 Å³ per cell
calculated density = 14.5 g cm⁻³


2.
Computed, not measured: a geometry-optimized Pr3Mg3TlInAg structure at the GGA-PBE level of DFT.

CIF file:
```
data_Pr3Mg3TlInAg
_cell_length_a 7.7871
_cell_length_b 7.7871
_cell_length_c 4.6297
_cell_angle_alpha 90.00
_cell_angle_beta 90.00
_cell_angle_gamma 120.00
_space_group_name_H-M_alt 'P -6'
_space_group_IT_number 174
loop_
_space_group_symop_operation_xyz
'x,y,z'
'-x+y,-x,-z'
'-y,x-y,z'
'x,y,-z'
'-x+y,-x,z'
'-y,x-y,-z'
loop_
_atom_site_label
_atom_site_type_symbol
_atom_site_fract_x
_atom_site_fract_y
_atom_site_fract_z
_atom_site_occupancy
Pr1 Pr 0.9996 0.5879 0.0000 1
Mg1 Mg 0.2375 0.0014 0.5000 1
Tl1 Tl 0.3333 0.6667 0.5000 1
In1 In 0.6667 0.3333 0.5000 1
Ag1 Ag 0.0000 0.0000 0.0000 1
```

Properties
M_tot = 0.006 μB/f.u.
calculated total energy = -3.352 eV per atom
volume = 243.1 Å³ per cell
calculated density = 6.3 g cm⁻³


3.
Computed, not measured: a geometry-optimized GdCuSnS3 structure at the GGA-PBE level of DFT.

CIF file:
```
data_GdCuSnS3
_cell_length_a 7.928
_cell_length_b 4.037
_cell_length_c 15.531
_cell_angle_alpha 90.00
_cell_angle_beta 90.00
_cell_angle_gamma 90.00
_space_group_name_H-M_alt 'P n m a'
_space_group_IT_number 62
loop_
_space_group_symop_operation_xyz
'x,y,z'
'-x,-y,-z'
'-x+1/2,-y,z+1/2'
'x+1/2,y,-z+1/2'
'x+1/2,-y+1/2,-z+1/2'
'-x+1/2,y+1/2,z+1/2'
'-x,y+1/2,-z'
'x,-y+1/2,z'
loop_
_atom_site_label
_atom_site_type_symbol
_atom_site_fract_x
_atom_site_fract_y
_atom_site_fract_z
_atom_site_occupancy
Gd1 Gd 0.245 0.250 0.040 1
Cu1 Cu 0.125 0.250 0.371 1
Sn1 Sn 0.086 0.250 0.773 1
S1 S 0.017 0.250 0.596 1
S2 S 0.120 0.750 0.941 1
S3 S 0.185 0.250 0.219 1
```

Properties
M_tot = 0.001 μB/f.u.
calculated total energy = -5.159 eV per atom
volume = 497.1 Å³ per cell
relative energy among the computed polymorphs = 11 meV per atom
calculated density = 5.8 g cm⁻³


4.
Computed, not measured: a geometry-optimized LiSmGe structure at the GGA-PBE level of DFT.

CIF file:
```
data_LiSmGe
_cell_length_a 4.4474
_cell_length_b 4.4474
_cell_length_c 7.4169
_cell_angle_alpha 90.00
_cell_angle_beta 90.00
_cell_angle_gamma 120.00
_space_group_name_H-M_alt 'P 63/m m c'
_space_group_IT_number 194
_space_group_name_Hall '-P 6c 2c'
loop_
_atom_site_label
_atom_site_type_symbol
_atom_site_fract_x
_atom_site_fract_y
_atom_site_fract_z
_atom_site_occupancy
Li1 Li 0.3333 0.6667 0.2500 1
Sm1 Sm 0.0000 0.0000 0.0000 1
Ge1 Ge 0.3333 0.6667 0.7500 1
```

Properties
M_tot = 0.001 μB/f.u.
calculated total energy = -4.428 eV per atom
volume = 127.0 Å³ per cell
calculated density = 6.0 g cm⁻³


5.
Computed, not measured: a geometry-optimized BeGaSiIr structure at the GGA-PBE level of DFT.

CIF file:
```
data_BeGaSiIr
_cell_length_a 5.948
_cell_length_b 5.948
_cell_length_c 5.948
_cell_angle_alpha 90.00
_cell_angle_beta 90.00
_cell_angle_gamma 90.00
_space_group_name_H-M_alt 'F -4 3 m'
_space_group_IT_number 216
_space_group_name_Hall 'F -4 2 3'
loop_
_atom_site_label
_atom_site_type_symbol
_atom_site_fract_x
_atom_site_fract_y
_atom_site_fract_z
_atom_site_occupancy
Be1 Be 0.000 0.000 0.000 1
Ga1 Ga 0.250 0.250 0.750 1
Si1 Si 0.250 0.250 0.250 1
Ir1 Ir 0.000 0.000 0.500 1
```

Properties
M_tot = 0.005 μB/f.u.
calculated total energy = -5.222 eV per atom
volume = 210.4 Å³ per cell
relative energy among the computed polymorphs = 0 meV per atom
calculated density = 9.4 g cm⁻³


6.
Computed, not measured: a geometry-optimized TaZnGaFe structure at the GGA-PBE level of DFT.

CIF file:
```
data_TaZnGaFe
_cell_length_a 6.068
_cell_length_b 6.068
_cell_length_c 6.068
_cell_angle_alpha 90.00
_cell_angle_beta 90.00
_cell_angle_gamma 90.00
_space_group_name_H-M_alt 'F -4 3 m'
_space_group_IT_number 216
_space_group_name_Hall 'F -4 2 3'
loop_
_atom_site_label
_atom_site_type_symbol
_atom_site_fract_x
_atom_site_fract_y
_atom_site_fract_z
_atom_site_occupancy
Ta1 Ta 0.000 0.000 0.000 1
Zn1 Zn 0.250 0.250 0.250 1
Ga1 Ga 0.000 0.000 0.500 1
Fe1 Fe 0.250 0.250 0.750 1
```

Properties
M_tot = 0.001 μB/f.u.
calculated total energy = -6.139 eV per atom
volume = 223.5 Å³ per cell
relative energy among the computed polymorphs = 0 meV per atom
calculated density = 11.1 g cm⁻³


7.
Computed, not measured: a geometry-optimized Li2Bi2Pd3 structure at the GGA-PBE level of DFT.

CIF file:
```
data_Li2Bi2Pd3
_cell_length_a 4.5770
_cell_length_b 4.5770
_cell_length_c 22.1535
_cell_angle_alpha 90.00
_cell_angle_beta 90.00
_cell_angle_gamma 120.00
_space_group_name_H-M_alt 'R 3 m'
_space_group_IT_number 160
_space_group_name_Hall 'R 3 -2"'
loop_
_atom_site_label
_atom_site_type_symbol
_atom_site_fract_x
_atom_site_fract_y
_atom_site_fract_z
_atom_site_occupancy
Li1 Li 0.0000 0.0000 0.0000 1
Li2 Li 0.0000 0.0000 0.4905 1
Bi1 Bi 0.0000 0.0000 0.2393 1
Bi2 Bi 0.0000 0.0000 0.7472 1
Pd1 Pd 0.0000 0.0000 0.3651 1
Pd2 Pd 0.0000 0.0000 0.6200 1
Pd3 Pd 0.0000 0.0000 0.8739 1
```

Properties
calculated total energy = -4.384 eV per atom
volume = 401.9 Å³ per cell
calculated density = 9.3 g cm⁻³


8.
Computed, not measured: a geometry-optimized CsSnMo structure at the GGA-PBE level of DFT.

CIF file:
```
data_CsSnMo
_cell_length_a 7.429
_cell_length_b 7.429
_cell_length_c 7.429
_cell_angle_alpha 90.00
_cell_angle_beta 90.00
_cell_angle_gamma 90.00
_space_group_name_H-M_alt 'F -4 3 m'
_space_group_IT_number 216
_space_group_name_Hall 'F -4 2 3'
loop_
_atom_site_label
_atom_site_type_symbol
_atom_site_fract_x
_atom_site_fract_y
_atom_site_fract_z
_atom_site_occupancy
Cs1 Cs 0.000 0.000 0.000 1
Sn1 Sn 0.000 0.000 0.500 1
Mo1 Mo 0.250 0.250 0.250 1
```

Properties
M_tot = 2.968 μB/f.u.
calculated total energy = -3.931 eV per atom
volume = 410.0 Å³ per cell
calculated density = 5.6 g cm⁻³


9.
Computed, not measured: a geometry-optimized NbCuSiMo structure at the GGA-PBE level of DFT.

CIF file:
```
data_NbCuSiMo
_cell_length_a 6.180
_cell_length_b 6.180
_cell_length_c 6.180
_cell_angle_alpha 90.00
_cell_angle_beta 90.00
_cell_angle_gamma 90.00
_space_group_name_H-M_alt 'F -4 3 m'
_space_group_IT_number 216
_space_group_name_Hall 'F -4 2 3'
loop_
_atom_site_label
_atom_site_type_symbol
_atom_site_fract_x
_atom_site_fract_y
_atom_site_fract_z
_atom_site_occupancy
Nb1 Nb 0.000 0.000 0.000 1
Cu1 Cu 0.250 0.250 0.750 1
Si1 Si 0.000 0.000 0.500 1
Mo1 Mo 0.250 0.250 0.250 1
```

Properties
M_tot = 0.005 μB/f.u.
calculated total energy = -7.445 eV per atom
volume = 236.0 Å³ per cell
relative energy among the computed polymorphs = 0 meV per atom
calculated density = 7.9 g cm⁻³


10.
Computed, not measured: a geometry-optimized Er2LuMg5 structure at the GGA-PBE level of DFT.

CIF file:
```
data_Er2LuMg5
_cell_length_a 5.301
_cell_length_b 7.079
_cell_length_c 10.957
_cell_angle_alpha 90.00
_cell_angle_beta 90.00
_cell_angle_gamma 90.00
_space_group_name_H-M_alt 'A m m 2'
_space_group_IT_number 38
loop_
_space_group_symop_operation_xyz
'x,y,z'
'-x,-y,z'
'-x,y,z'
'x,-y,z'
'x,y+1/2,z+1/2'
'-x,-y+1/2,z+1/2'
'-x,y+1/2,z+1/2'
'x,-y+1/2,z+1/2'
loop_
_atom_site_label
_atom_site_type_symbol
_atom_site_fract_x
_atom_site_fract_y
_atom_site_fract_z
_atom_site_occupancy
Er1 Er 0.000 0.000 0.000 1
Er2 Er 0.500 0.000 0.318 1
Lu1 Lu 0.000 0.000 0.524 1
Mg1 Mg 0.000 0.239 0.258 1
Mg2 Mg 0.500 0.000 0.804 1
Mg3 Mg 0.500 0.244 0.064 1
```

Properties
M_tot = 0.004 μB/f.u.
calculated total energy = -2.707 eV per atom
volume = 411.2 Å³ per cell
calculated density = 5.1 g cm⁻³


11.
Computed, not measured: a geometry-optimized KHgP3O9 structure at the GGA-PBE level of DFT.

CIF file:
```
data_KHgP3O9
_cell_length_a 5.575
_cell_length_b 11.073
_cell_length_c 12.319
_cell_angle_alpha 90.00
_cell_angle_beta 90.00
_cell_angle_gamma 90.00
_space_group_name_H-M_alt 'P 21 21 21'
_space_group_IT_number 19
loop_
_space_group_symop_operation_xyz
'x,y,z'
'-x+1/2,-y,z+1/2'
'x+1/2,-y+1/2,-z'
'-x,y+1/2,-z+1/2'
loop_
_atom_site_label
_atom_site_type_symbol
_atom_site_fract_x
_atom_site_fract_y
_atom_site_fract_z
_atom_site_occupancy
K1 K 0.092 0.116 0.079 1
Hg1 Hg 0.099 0.479 0.137 1
P1 P 0.087 0.195 0.814 1
P2 P 0.105 0.842 0.860 1
P3 P 0.115 0.582 0.873 1
O1 O 0.012 0.437 0.571 1
O2 O 0.021 0.492 0.953 1
O3 O 0.079 0.316 0.740 1
O4 O 0.088 0.091 0.721 1
O5 O 0.099 0.715 0.926 1
O6 O 0.138 0.689 0.619 1
O7 O 0.143 0.438 0.322 1
O8 O 0.147 0.137 0.315 1
O9 O 0.179 0.810 0.373 1
```

Properties
calculated total energy = -6.370 eV per atom
volume = 760.5 Å³ per cell
calculated density = 4.2 g cm⁻³


12.
Computed, not measured: a geometry-optimized GdInPt structure at the GGA-PBE level of DFT.

CIF file:
```
data_GdInPt
_cell_length_a 7.2001
_cell_length_b 7.2001
_cell_length_c 4.4179
_cell_angle_alpha 90.00
_cell_angle_beta 90.00
_cell_angle_gamma 120.00
_space_group_name_H-M_alt 'P -6 2 m'
_space_group_IT_number 189
_space_group_name_Hall 'P -6 -2'
loop_
_atom_site_label
_atom_site_type_symbol
_atom_site_fract_x
_atom_site_fract_y
_atom_site_fract_z
_atom_site_occupancy
Gd1 Gd 0.0000 0.5618 0.0000 1
In1 In 0.0000 0.0000 0.0000 1
In2 In 0.3333 0.6667 0.5000 1
Pt1 Pt 0.0000 0.2418 0.5000 1
```

Properties
M_tot = 0.003 μB/f.u.
calculated total energy = -5.200 eV per atom
volume = 198.3 Å³ per cell
calculated density = 11.7 g cm⁻³